(1)
Entry from Alexandria via LeMat-Bulk: crystalline TlCuAu2 at its relaxed geometry (PBE).

The calculation puts the energy above the most stable polymorph in this dataset at 0.076 eV per atom. The formation energy from the elements is 0.134 eV/atom. As for the total energy: -25.0 eV for the cell shown. The volume comes out at 149 Å³/cell. The calculated density comes out at 14.766 g cm⁻³.

The structure belongs to space group I4/mmm (No. 139); the cell edges are 4.140, 4.140 and 8.686 Å and the angles 90.00°, 90.00° and 90.00°. The distinct sites, in fractional coordinates, are Tl at (0.000, 0.000, 0.000), Cu at (0.000, 0.000, 0.500) and Au at (0.000, 0.500, 0.250).

(2)
Entry from Alexandria via LeMat-Bulk: crystalline TlCuAu at its relaxed geometry (PBE).

The calculation puts the energy above the most stable polymorph in this dataset at 0.088 eV per atom. The formation energy from the elements is 0.146 eV/atom. As for the total energy: -37.2 eV for the cell shown. The volume comes out at 250 Å³/cell. The calculated density comes out at 12.347 g cm⁻³.

The structure belongs to space group F-43m (No. 216); the cell edges are 6.300, 6.300 and 6.300 Å and the angles 90.00°, 90.00° and 90.00°. The distinct sites, in fractional coordinates, are Tl at (0.000, 0.000, 0.000), Cu at (0.250, 0.250, 0.250) and Au at (0.000, 0.000, 0.500).

(3)
Entry from Alexandria via LeMat-Bulk: crystalline Tl2CuAu at its relaxed geometry (PBE).

The calculation puts the energy above the most stable polymorph in this dataset at 0.168 eV per atom. The formation energy from the elements is 0.251 eV/atom. As for the total energy: -22.2 eV for the cell shown. The volume comes out at 180 Å³/cell. The calculated density comes out at 12.327 g cm⁻³.

The structure belongs to space group I-4m2 (No. 119); the cell edges are 4.168, 4.168 and 10.379 Å and the angles 90.00°, 90.00° and 90.00°. The distinct sites, in fractional coordinates, are Tl at (0.000, 0.000, 0.000), Tl at (0.000, 0.500, 0.250), Cu at (0.000, 0.000, 0.500) and Au at (0.000, 0.500, 0.750).